# 1
A plane-wave DFT calculation with PBE-GGA was carried out for an optimized crystal structure of Na2Er2SbO6.

It has space group C2/m (No. 12), with a = 5.840 Å, b = 10.119 Å, c = 5.929 Å, α = 90.00°, β = 107.11° and γ = 90.00°. The distinct sites, in fractional coordinates, are Na at (0.000, 0.160, 0.000), Er at (0.000, 0.335, 0.500), Sb at (0.000, 0.000, 0.500), O at (0.216, 0.166, 0.697) and O at (0.249, 0.500, 0.699).



# 2
A plane-wave DFT calculation with PBE-GGA was carried out for an optimized crystal structure of Na4Er3SbO8.

It has space group R-3m (No. 166, hexagonal axes), with a = 6.8142 Å, b = 6.8142 Å, c = 16.7448 Å, α = 90.00°, β = 90.00° and γ = 120.00°. The distinct sites, in fractional coordinates, are Na at (0.0000, 0.0000, 0.0000), Na at (0.0000, 0.5000, 0.0000), Er at (0.0000, 0.5000, 0.5000), Sb at (0.0000, 0.0000, 0.5000), O at (0.0000, 0.0000, 0.2360) and O at (0.0080, 0.5040, 0.7621).



# 3
A plane-wave DFT calculation with PBE-GGA was carried out for an optimized crystal structure of NaEr2SbO6.

It has space group R3 (No. 146, hexagonal axes), with a = 5.6465 Å, b = 5.6465 Å, c = 15.0881 Å, α = 90.00°, β = 90.00° and γ = 120.00°. The distinct sites, in fractional coordinates, are Na at (0.0000, 0.0000, 0.0000), Er at (0.0000, 0.0000, 0.2208), Er at (0.0000, 0.0000, 0.7280), Sb at (0.0000, 0.0000, 0.5237), O at (0.0344, 0.3462, 0.1243) and O at (0.0701, 0.6863, 0.2792).



# 4
A plane-wave DFT calculation with PBE-GGA was carried out for an optimized crystal structure of Na3ErSc2O6.

It has space group C2/m (No. 12), with a = 5.635 Å, b = 9.763 Å, c = 5.823 Å, α = 90.00°, β = 108.77° and γ = 90.00°. The distinct sites, in fractional coordinates, are Na at (0.000, 0.000, 0.000), Na at (0.000, 0.330, 0.000), Er at (0.000, 0.500, 0.500), Sc at (0.000, 0.167, 0.500), O at (0.223, 0.000, 0.706) and O at (0.241, 0.327, 0.705).



# 5
A plane-wave DFT calculation with PBE-GGA was carried out for an optimized crystal structure of Na3Er2ScO6.

It has space group C2/m (No. 12), with a = 5.752 Å, b = 9.969 Å, c = 5.863 Å, α = 90.00°, β = 109.00° and γ = 90.00°. The distinct sites, in fractional coordinates, are Na at (0.000, 0.000, 0.000), Na at (0.000, 0.339, 0.000), Er at (0.000, 0.167, 0.500), Sc at (0.000, 0.500, 0.500), O at (0.230, 0.339, 0.708) and O at (0.247, 0.000, 0.706).



# 6
A plane-wave DFT calculation with PBE-GGA was carried out for an optimized crystal structure of Na3Er3SeO8.

It has space group R-3m (No. 166, hexagonal axes), with a = 6.6706 Å, b = 6.6706 Å, c = 16.6930 Å, α = 90.00°, β = 90.00° and γ = 120.00°. The distinct sites, in fractional coordinates, are Na at (0.0000, 0.5000, 0.0000), Er at (0.0000, 0.5000, 0.5000), Se at (0.0000, 0.0000, 0.5000), O at (0.0000, 0.0000, 0.2356) and O at (0.0229, 0.5115, 0.2332).



Formation energy without anion corrections values, unit eV per atom, following the record order: -2.358, -2.455, -2.606, -2.836, -2.835, -2.382.
V values, unit Å³/atom, following the record order: 15.22, 14.03, 13.89, 12.64, 13.24, 14.29.